[1]
{
  "formula": "Tl12AgSb7",
  "functional": "PBE-GGA",
  "state": "optimized geometry",
  "lattice": [[9.196, -0.122, -0.183], [-2.674, 8.800, -0.183], [-2.674, -3.558, 8.050]],
  "species": ["Tl", "Tl", "Tl", "Tl", "Tl", "Tl", "Tl", "Tl", "Tl", "Tl", "Tl", "Tl", "Ag", "Sb", "Sb", "Sb", "Sb", "Sb", "Sb", "Sb"],
  "fractional_positions": [[0.819, 0.321, 0.638], [0.679, 0.362, 0.181], [0.415, 0.093, 0.321], [0.907, 0.679, 0.585], [0.362, 0.181, 0.679], [0.679, 0.585, 0.907], [0.321, 0.415, 0.093], [0.638, 0.819, 0.321], [0.093, 0.321, 0.415], [0.585, 0.907, 0.679], [0.321, 0.638, 0.819], [0.181, 0.679, 0.362], [0.000, 0.000, 0.000], [0.068, 0.705, 0.992], [0.295, 0.008, 0.932], [0.008, 0.932, 0.295], [0.500, 0.500, 0.500], [0.992, 0.068, 0.705], [0.705, 0.992, 0.068], [0.932, 0.295, 0.008]],
  "raw_formation_energy_ev_per_atom": 0.04
}

[2]
{
  "formula": "Sm4DyHg3",
  "functional": "PBE-GGA",
  "state": "optimized geometry",
  "lattice": [[-4.716, 0.271, -1.420], [2.609, -0.740, -8.809], [-0.746, -9.821, 0.604]],
  "species": ["Hg", "Hg", "Hg", "Hg", "Hg", "Hg", "Sm", "Sm", "Sm", "Sm", "Sm", "Sm", "Sm", "Sm", "Dy", "Dy"],
  "fractional_positions": [[0.000, 0.000, 0.000], [0.000, 0.000, 0.500], [0.500, 0.000, 0.750], [0.500, 0.000, 0.250], [0.500, 0.500, 0.750], [0.500, 0.500, 0.250], [0.500, 0.766, 0.000], [0.500, 0.766, 0.500], [0.500, 0.234, 0.000], [0.500, 0.234, 0.500], [0.000, 0.766, 0.750], [0.000, 0.766, 0.250], [0.000, 0.234, 0.250], [0.000, 0.234, 0.750], [0.000, 0.500, 0.000], [0.000, 0.500, 0.500]],
  "e_form_mev_per_atom": -285
}

[3]
{
  "formula": "Mn3Ir2",
  "functional": "PBE-GGA",
  "state": "optimized geometry",
  "lattice": [[-0.596, -4.466, -9.494], [-2.614, -5.759, -8.393], [-3.003, -3.389, -9.483]],
  "species": ["Mn", "Mn", "Mn", "Ir", "Ir"],
  "fractional_positions": [[0.000, 0.000, 0.000], [0.803, 0.803, 0.803], [0.197, 0.197, 0.197], [0.600, 0.600, 0.600], [0.400, 0.400, 0.400]],
  "relative_energy_mev_per_atom": 83,
  "e_form_mev_per_atom": 27
}

[4]
{
  "formula": "CrTe",
  "functional": "PBE-GGA",
  "state": "optimized geometry",
  "lattice": [[-1.073, 0.879, 3.233], [-3.257, -1.068, -0.791], [0.784, -3.235, 1.140]],
  "species": ["Cr", "Te"],
  "fractional_positions": [[0.000, 0.000, 0.000], [0.500, 0.500, 0.500]],
  "raw_formation_energy_ev_per_atom": 0.30
}

For each record above, in turn, the calculated DFT total energy values are -2.97 -3.33 -9.02 -6.09 eV per atom.
For each record above, in turn, the calculated magnetic moment values are 0.00 0.00 0.00 3.84 μB/cell.